{
  "formula": "ZnP2O6",
  "functional": "PBE",
  "state": "optimized geometry",
  "magnetic_moment_mub_per_atom": 0.000,
  "final_energy_ev_per_atom": -6.6559,
  "density_g_cm3": 3.44,
  "spacegroup": "C2/c, No. 15",
  "formation_energy_uncorrected_ev_per_atom": -2.007,
  "cell": [[6.7528, 0.0005, 0.0016], [0.6076, 6.7254, 0.0016], [1.2183, 1.1133, 4.7432]],
  "species": ["Zn", "Zn", "P", "P", "P", "P", "O", "O", "O", "O", "O", "O", "O", "O", "O", "O", "O", "O"],
  "fractional_positions": [[0.1246, 0.8754, 0.7500], [0.8754, 0.1246, 0.2500], [0.1972, 0.3750, 0.7448], [0.6250, 0.8028, 0.7552], [0.8028, 0.6250, 0.2552], [0.3750, 0.1972, 0.2448], [0.1135, 0.5895, 0.6902], [0.4105, 0.8865, 0.8098], [0.8865, 0.4105, 0.3098], [0.5895, 0.1135, 0.1902], [0.0522, 0.1991, 0.8483], [0.8009, 0.9478, 0.6517], [0.6560, 0.6437, 0.0390], [0.3563, 0.3440, 0.4610], [0.3440, 0.3563, 0.9610], [0.6437, 0.6560, 0.5390], [0.1991, 0.0522, 0.3483], [0.9478, 0.8009, 0.1517]]
}


{
  "formula": "Zn3P2O12",
  "functional": "PBE",
  "state": "optimized geometry",
  "magnetic_moment_mub_per_atom": 0.474,
  "final_energy_ev_per_atom": -5.2619,
  "density_g_cm3": 3.25,
  "spacegroup": "P-1, No. 2",
  "de_polymorph_ev_per_fu": 8.24,
  "formation_energy_uncorrected_ev_per_atom": -0.901,
  "cell": [[5.1268, 0.0334, -0.0704], [0.0098, 5.9802, 0.0029], [-0.9694, -1.6779, 7.5165]],
  "species": ["Zn", "Zn", "Zn", "P", "P", "O", "O", "O", "O", "O", "O", "O", "O", "O", "O", "O", "O"],
  "fractional_positions": [[0.0000, 0.0000, 0.0000], [0.1511, 0.7173, 0.3792], [0.8489, 0.2827, 0.6208], [0.7046, 0.7869, 0.6279], [0.2954, 0.2131, 0.3721], [0.8134, 0.6052, 0.7368], [0.1866, 0.3948, 0.2632], [0.4003, 0.7891, 0.6044], [0.5997, 0.2109, 0.3956], [0.8194, 0.0250, 0.7425], [0.1806, 0.9750, 0.2575], [0.7960, 0.7342, 0.4443], [0.2040, 0.2658, 0.5557], [0.7350, 0.7546, 0.0176], [0.2650, 0.2454, 0.9824], [0.3513, 0.8439, 0.9191], [0.6487, 0.1561, 0.0809]]
}